<a>
Here is PmCuSb after structural relaxation from Alexandria via LeMat-Bulk. Energies are from PBE.

abc: 4.660 4.660 4.660
angles: 60.00 60.00 60.00
Fractional coordinates of all 3 atoms:
Pm (0.000, 0.000, 0.000)
Cu (0.250, 0.250, 0.250)
Sb (0.500, 0.500, 0.500)

Summary:
- Size of the total moment: 0.00 μB per formula unit

<b>
Here is PmCuSb after structural relaxation from Alexandria via LeMat-Bulk. Energies are from PBE.

abc: 6.015 6.015 7.288
angles: 125.29 125.29 42.16
Fractional coordinates of all 6 atoms:
Pm (0.045, 0.045, 0.295)
Pm (0.955, 0.955, 0.705)
Cu (0.364, 0.364, 0.928)
Cu (0.636, 0.636, 0.072)
Sb (0.311, 0.311, 0.266)
Sb (0.689, 0.689, 0.734)

Summary:
- Size of the total moment: 0.00 μB per formula unit

Last place for stability: <a>

<a>
Here is PmSc2Cu after structural relaxation from Alexandria via LeMat-Bulk. Energies are from PBE.

abc: 6.424 9.661 6.096
angles: 90.00 90.00 90.00
Fractional coordinates of all 16 atoms:
Pm (0.004, 0.250, 0.124)
Pm (0.496, 0.750, 0.624)
Pm (0.504, 0.250, 0.376)
Pm (0.996, 0.750, 0.876)
Sc (0.175, 0.549, 0.319)
Sc (0.175, 0.951, 0.319)
Sc (0.325, 0.049, 0.819)
Sc (0.325, 0.451, 0.819)
Sc (0.675, 0.549, 0.181)
Sc (0.675, 0.951, 0.181)
Sc (0.825, 0.049, 0.681)
Sc (0.825, 0.451, 0.681)
Cu (0.100, 0.250, 0.590)
Cu (0.400, 0.750, 0.090)
Cu (0.600, 0.250, 0.910)
Cu (0.900, 0.750, 0.410)

Summary:
- Size of the total moment: 0.00 μB per formula unit

<b>
Here is PmSc2Cu after structural relaxation from Alexandria via LeMat-Bulk. Energies are from PBE.

abc: 5.964 5.964 5.964
angles: 45.48 45.48 45.48
Fractional coordinates of all 4 atoms:
Pm (0.000, 0.000, 0.000)
Sc (0.216, 0.216, 0.216)
Sc (0.784, 0.784, 0.784)
Cu (0.500, 0.500, 0.500)

Summary:
- Size of the total moment: 0.00 μB per formula unit

<c>
Here is PmSc2Cu after structural relaxation from Alexandria via LeMat-Bulk. Energies are from PBE.

abc: 9.552 9.552 9.552
angles: 20.98 20.98 20.98
Fractional coordinates of all 4 atoms:
Pm (0.000, 0.000, 0.000)
Sc (0.563, 0.563, 0.563)
Sc (0.767, 0.767, 0.767)
Cu (0.164, 0.164, 0.164)

Summary:
- Size of the total moment: 0.00 μB per formula unit

Last place for stability: <b>

<a>
Here is PmCuSi3 after structural relaxation from Alexandria via LeMat-Bulk. Energies are from PBE.

abc: 5.530 5.530 5.530
angles: 133.70 133.70 67.56
Fractional coordinates of all 5 atoms:
Pm (0.000, 0.000, 0.000)
Cu (0.636, 0.636, 0.000)
Si (0.252, 0.752, 0.500)
Si (0.379, 0.379, 0.000)
Si (0.752, 0.252, 0.500)

Summary:
- Size of the total moment: 0.00 μB per formula unit

<b>
Here is PmCuSi3 after structural relaxation from Alexandria via LeMat-Bulk. Energies are from PBE.

abc: 10.778 10.778 4.099
angles: 90.00 90.00 158.18
Fractional coordinates of all 10 atoms:
Pm (0.167, 0.833, 0.000)
Pm (0.833, 0.167, 0.000)
Cu (0.389, 0.611, 0.500)
Cu (0.611, 0.389, 0.500)
Si (0.055, 0.945, 0.500)
Si (0.279, 0.721, 0.500)
Si (0.445, 0.555, 0.000)
Si (0.555, 0.445, 0.000)
Si (0.721, 0.279, 0.500)
Si (0.945, 0.055, 0.500)

Summary:
- Size of the total moment: 0.00 μB per formula unit

Last place for stability: <a>

<a>
Here is PmCu3Si after structural relaxation from Alexandria via LeMat-Bulk. Energies are from PBE.

abc: 6.410 6.410 6.410
angles: 134.94 96.79 100.11
Fractional coordinates of all 10 atoms:
Pm (0.289, 0.039, 0.250)
Pm (0.711, 0.961, 0.750)
Cu (0.090, 0.340, 0.750)
Cu (0.240, 0.000, 0.740)
Cu (0.240, 0.500, 0.240)
Cu (0.760, 0.000, 0.260)
Cu (0.760, 0.500, 0.760)
Cu (0.910, 0.660, 0.250)
Si (0.000, 0.500, 0.500)
Si (0.500, 0.500, 0.000)

Summary:
- Size of the total moment: 0.00 μB per formula unit

<b>
Here is PmCu3Si after structural relaxation from Alexandria via LeMat-Bulk. Energies are from PBE.

abc: 10.932 10.932 10.932
angles: 156.26 156.26 33.83
Fractional coordinates of all 10 atoms:
Pm (0.000, 0.000, 0.000)
Pm (0.750, 0.250, 0.500)
Cu (0.108, 0.608, 0.500)
Cu (0.375, 0.124, 0.250)
Cu (0.392, 0.892, 0.500)
Cu (0.874, 0.124, 0.750)
Cu (0.876, 0.126, 0.250)
Cu (0.876, 0.625, 0.750)
Si (0.359, 0.359, 0.000)
Si (0.641, 0.641, 0.000)

Summary:
- Size of the total moment: 0.00 μB per formula unit

Last place for stability: <b>

<a>
Here is Pm2Cu5Si3 after structural relaxation from Alexandria via LeMat-Bulk. Energies are from PBE.

abc: 4.087 4.087 10.034
angles: 90.00 90.00 90.00
Fractional coordinates of all 10 atoms:
Pm (0.000, 0.500, 0.245)
Pm (0.500, 0.000, 0.755)
Cu (0.000, 0.000, 0.000)
Cu (0.000, 0.000, 0.500)
Cu (0.000, 0.500, 0.864)
Cu (0.500, 0.000, 0.136)
Cu (0.500, 0.500, 0.000)
Si (0.000, 0.500, 0.636)
Si (0.500, 0.000, 0.364)
Si (0.500, 0.500, 0.500)

Summary:
- Size of the total moment: 0.00 μB per formula unit

<b>
Here is Pm2Cu5Si3 after structural relaxation from Alexandria via LeMat-Bulk. Energies are from PBE.

abc: 8.130 8.130 5.820
angles: 110.88 110.88 91.43
Fractional coordinates of all 20 atoms:
Pm (0.120, 0.371, 0.246)
Pm (0.371, 0.120, 0.746)
Pm (0.629, 0.880, 0.254)
Pm (0.880, 0.629, 0.754)
Cu (0.004, 0.247, 0.626)
Cu (0.247, 0.004, 0.126)
Cu (0.260, 0.740, 0.750)
Cu (0.261, 0.739, 0.250)
Cu (0.500, 0.500, 0.250)
Cu (0.500, 0.500, 0.750)
Cu (0.739, 0.261, 0.750)
Cu (0.740, 0.260, 0.250)
Cu (0.753, 0.996, 0.874)
Cu (0.996, 0.753, 0.374)
Si (0.000, 0.000, 0.250)
Si (0.000, 0.000, 0.750)
Si (0.240, 0.490, 0.864)
Si (0.490, 0.240, 0.364)
Si (0.510, 0.760, 0.636)
Si (0.760, 0.510, 0.136)

Summary:
- Size of the total moment: 0.00 μB per formula unit

Last place for stability: <a>

<a>
Here is Pm2Cu2Si3 after structural relaxation from Alexandria via LeMat-Bulk. Energies are from PBE.

abc: 5.483 5.483 6.552
angles: 109.70 109.70 44.39
Fractional coordinates of all 7 atoms:
Pm (0.144, 0.144, 0.287)
Pm (0.856, 0.856, 0.713)
Cu (0.161, 0.161, 0.802)
Cu (0.839, 0.839, 0.198)
Si (0.405, 0.405, 0.068)
Si (0.500, 0.500, 0.500)
Si (0.595, 0.595, 0.932)

Summary:
- Size of the total moment: 0.00 μB per formula unit

<b>
Here is Pm2Cu2Si3 after structural relaxation from Alexandria via LeMat-Bulk. Energies are from PBE.

abc: 9.211 9.211 6.680
angles: 90.00 90.00 153.08
Fractional coordinates of all 14 atoms:
Pm (0.052, 0.948, 0.750)
Pm (0.159, 0.841, 0.250)
Pm (0.841, 0.159, 0.750)
Pm (0.948, 0.052, 0.250)
Cu (0.313, 0.687, 0.063)
Cu (0.313, 0.687, 0.437)
Cu (0.687, 0.313, 0.563)
Cu (0.687, 0.313, 0.937)
Si (0.222, 0.778, 0.750)
Si (0.439, 0.561, 0.571)
Si (0.439, 0.561, 0.929)
Si (0.561, 0.439, 0.071)
Si (0.561, 0.439, 0.429)
Si (0.778, 0.222, 0.250)

Summary:
- Size of the total moment: 0.00 μB per formula unit

Last place for stability: <a>

<a>
Here is PmCu2Si after structural relaxation from Alexandria via LeMat-Bulk. Energies are from PBE.

abc: 5.597 5.597 6.594
angles: 90.00 90.00 137.53
Fractional coordinates of all 8 atoms:
Pm (0.071, 0.929, 0.750)
Pm (0.929, 0.071, 0.250)
Cu (0.352, 0.648, 0.560)
Cu (0.352, 0.648, 0.940)
Cu (0.648, 0.352, 0.060)
Cu (0.648, 0.352, 0.440)
Si (0.214, 0.786, 0.250)
Si (0.786, 0.214, 0.750)

Summary:
- Size of the total moment: 0.00 μB per formula unit

<b>
Here is PmCu2Si after structural relaxation from Alexandria via LeMat-Bulk. Energies are from PBE.

abc: 4.567 4.567 4.567
angles: 60.00 60.00 60.00
Fractional coordinates of all 4 atoms:
Pm (0.000, 0.000, 0.000)
Cu (0.250, 0.250, 0.250)
Cu (0.750, 0.750, 0.750)
Si (0.500, 0.500, 0.500)

Summary:
- Size of the total moment: 0.00 μB per formula unit

Last place for stability: <b>

<a>
Here is TbPmCuSi after structural relaxation from Alexandria via LeMat-Bulk. Energies are from PBE.

abc: 5.016 5.016 5.016
angles: 60.00 60.00 60.00
Fractional coordinates of all 4 atoms:
Tb (0.000, 0.000, 0.000)
Pm (0.500, 0.500, 0.500)
Cu (0.250, 0.250, 0.250)
Si (0.750, 0.750, 0.750)

Summary:
- Size of the total moment: 0.00 μB per formula unit

<b>
Here is TbPmCuSi after structural relaxation from Alexandria via LeMat-Bulk. Energies are from PBE.

abc: 4.111 5.849 5.849
angles: 41.17 90.00 90.00
Fractional coordinates of all 4 atoms:
Tb (0.000, 0.000, 0.000)
Pm (0.500, 0.281, 0.281)
Cu (0.000, 0.698, 0.698)
Si (0.500, 0.565, 0.565)

Summary:
- Size of the total moment: 0.00 μB per formula unit

Last place for stability: <a>

<a>
Here is PmTmCuSi after structural relaxation from Alexandria via LeMat-Bulk. Energies are from PBE.

abc: 4.969 4.969 4.969
angles: 60.00 60.00 60.00
Fractional coordinates of all 4 atoms:
Pm (0.000, 0.000, 0.000)
Tm (0.500, 0.500, 0.500)
Cu (0.750, 0.750, 0.750)
Si (0.250, 0.250, 0.250)

Summary:
- Size of the total moment: 0.00 μB per formula unit

<b>
Here is PmTmCuSi after structural relaxation from Alexandria via LeMat-Bulk. Energies are from PBE.

abc: 4.071 5.829 5.829
angles: 40.79 90.00 90.00
Fractional coordinates of all 4 atoms:
Pm (0.000, 0.000, 0.000)
Tm (0.500, 0.721, 0.721)
Cu (0.500, 0.417, 0.417)
Si (0.000, 0.282, 0.282)

Summary:
- Size of the total moment: 0.00 μB per formula unit

Last place for stability: <a>

<a>
Here is Pm2SmCu after structural relaxation from Alexandria via LeMat-Bulk. Energies are from PBE.

abc: 6.996 10.065 6.566
angles: 90.00 90.00 90.00
Fractional coordinates of all 16 atoms:
Pm (0.191, 0.059, 0.176)
Pm (0.191, 0.441, 0.176)
Pm (0.309, 0.559, 0.676)
Pm (0.309, 0.941, 0.676)
Pm (0.691, 0.059, 0.324)
Pm (0.691, 0.441, 0.324)
Pm (0.809, 0.559, 0.824)
Pm (0.809, 0.941, 0.824)
Sm (0.021, 0.250, 0.640)
Sm (0.479, 0.750, 0.140)
Sm (0.521, 0.250, 0.860)
Sm (0.979, 0.750, 0.360)
Cu (0.103, 0.750, 0.936)
Cu (0.397, 0.250, 0.436)
Cu (0.603, 0.750, 0.564)
Cu (0.897, 0.250, 0.064)

Summary:
- Size of the total moment: 0.00 μB per formula unit

<b>
Here is Pm2SmCu after structural relaxation from Alexandria via LeMat-Bulk. Energies are from PBE.

abc: 3.609 3.609 8.744
angles: 90.00 90.00 90.00
Fractional coordinates of all 4 atoms:
Pm (0.000, 0.000, 0.198)
Pm (0.000, 0.000, 0.802)
Sm (0.500, 0.500, 0.500)
Cu (0.500, 0.500, 0.000)

Summary:
- Size of the total moment: 0.00 μB per formula unit

Last place for stability: <b>

<a>
Here is Pm2SmCu2 after structural relaxation from Alexandria via LeMat-Bulk. Energies are from PBE.

abc: 5.062 4.719 11.115
angles: 90.00 99.35 90.00
Fractional coordinates of all 10 atoms:
Pm (0.156, 0.250, 0.116)
Pm (0.258, 0.750, 0.511)
Pm (0.742, 0.250, 0.489)
Pm (0.844, 0.750, 0.884)
Sm (0.302, 0.250, 0.758)
Sm (0.698, 0.750, 0.242)
Cu (0.194, 0.250, 0.363)
Cu (0.388, 0.750, 0.995)
Cu (0.612, 0.250, 0.005)
Cu (0.806, 0.750, 0.637)

Summary:
- Size of the total moment: 0.00 μB per formula unit

<b>
Here is Pm2SmCu2 after structural relaxation from Alexandria via LeMat-Bulk. Energies are from PBE.

abc: 3.609 5.177 13.418
angles: 90.00 97.68 90.00
Fractional coordinates of all 10 atoms:
Pm (0.047, 0.250, 0.094)
Pm (0.230, 0.250, 0.460)
Pm (0.770, 0.750, 0.540)
Pm (0.953, 0.750, 0.906)
Sm (0.141, 0.750, 0.281)
Sm (0.859, 0.250, 0.719)
Cu (0.359, 0.750, 0.721)
Cu (0.455, 0.250, 0.908)
Cu (0.545, 0.750, 0.092)
Cu (0.641, 0.250, 0.279)

Summary:
- Size of the total moment: 0.00 μB per formula unit

Last place for stability: <a>